First-principles (PBE) data for Cs3In2I9 after structural relaxation, as listed in the Alexandria database.

As for the total energy: -2.5161 eV/atom. The value obtained for the density is 4.50 Mg/m³. Its density of states at the Fermi level is 7.6 states/eV/cell. Its calculated volume is 653.93 Å³ per cell.

The structure belongs to space group P-3m1 (No. 164); the cell edges are 8.4918, 8.4918 and 10.4712 Å and the angles 90.00°, 90.00° and 120.00°. The distinct sites, in fractional coordinates, are Cs at (0.0000, 0.0000, 0.0000), Cs at (0.3333, 0.6667, 0.3328), In at (0.3333, 0.6667, 0.8087), I at (0.0000, 0.5000, 0.0000) and I at (0.1661, 0.3322, 0.6741).